Record 1
Ce3As3P | GGA-PBE | relaxed

Formation energy ... -1.006 eV/atom
DOS at the Fermi energy ... 22.65 states/eV per cell
Total magnetic moment ... 2.382 μB/cell
E ... -88.40 eV/cell

Cell and atoms, written as POSCAR:
```
Ce3As3P
1.0
3.9545 -6.4180 0.0000
3.9545 6.4180 0.0000
-0.1525 0.0000 7.4216
Ce As P
6 6 2
direct
0.0905 0.0905 0.2663
0.1427 0.4957 0.7665
0.4957 0.1427 0.7665
0.5043 0.8573 0.2335
0.8573 0.5043 0.2335
0.9095 0.9095 0.7337
0.1689 0.8311 0.0000
0.2027 0.7973 0.5000
0.4289 0.4289 0.1397
0.5711 0.5711 0.8603
0.7973 0.2027 0.5000
0.8311 0.1689 0.0000
0.2416 0.2416 0.5937
0.7584 0.7584 0.4063
```



Record 2
RhW2Au | GGA-PBE | relaxed

Formation energy ... 0.391 eV/atom
DOS at the Fermi energy ... 3.21 states/eV per cell
Total magnetic moment ... 0.000 μB/cell
E ... -34.97 eV/cell

Cell and atoms, written as POSCAR:
```
RhW2Au
1.0
3.4371 0.0000 0.0000
0.0000 3.4371 0.0000
0.0000 0.0000 5.5703
Rh W Au
1 2 1
direct
0.0000 0.0000 0.0000
0.5000 0.5000 0.2191
0.5000 0.5000 0.7809
0.0000 0.0000 0.5000
```



Record 3
Nd2ErTh | GGA-PBE | relaxed

Formation energy ... 0.050 eV/atom
DOS at the Fermi energy ... 21.90 states/eV per cell
Total magnetic moment ... 0.001 μB/cell
E ... -85.28 eV/cell

Cell and atoms, written as POSCAR:
```
Nd2ErTh
1.0
12.4998 0.0000 0.0000
0.0000 7.1887 0.0000
-2.0604 0.0000 5.9262
Nd Er Th
8 4 4
direct
0.2481 0.1273 0.2494
0.2481 0.8727 0.7494
0.2519 0.3727 0.7506
0.2519 0.6273 0.2506
0.7481 0.3727 0.7494
0.7481 0.6273 0.2494
0.7519 0.1273 0.2506
0.7519 0.8727 0.7506
0.0000 0.3723 0.2500
0.0000 0.6277 0.7500
0.5000 0.1277 0.7500
0.5000 0.8723 0.2500
0.0000 0.1160 0.7500
0.0000 0.8840 0.2500
0.5000 0.3840 0.2500
0.5000 0.6160 0.7500
```